No. 1
Entry from Alexandria: a geometry-optimized Pm5AgSe4 structure (PBE-GGA).

Lattice parameters (Å, degrees): 4.1803 7.3726 9.4265 75.41 77.19 73.53
Fractional coordinates of all 10 atoms:
Pm (0.2024, 0.8999, 0.6953)
Pm (0.7976, 0.1001, 0.3047)
Pm (0.3960, 0.3124, 0.8957)
Pm (0.0000, 0.5000, 0.5000)
Pm (0.6040, 0.6876, 0.1043)
Ag (0.0000, 0.0000, 0.0000)
Se (0.5995, 0.2017, 0.5993)
Se (0.2019, 0.3947, 0.2015)
Se (0.7981, 0.6053, 0.7985)
Se (0.4005, 0.7983, 0.4007)

Computed properties:
N(E_F) in states/eV/f.u.: 6.21
Symmetry: C2/m (12)
Energy relative to the elements, uncorrected in meV per atom: -1508
Calculated volume in Å³/cell: 266


No. 2
Entry from Alexandria: a geometry-optimized TePtPb2 structure (PBE-GGA).

Lattice parameters (Å, degrees): 3.7699 3.2667 8.5602 90.00 90.00 90.00
Fractional coordinates of all 4 atoms:
Pb (0.0000, 0.0000, 0.0481)
Pb (0.0000, 0.0000, 0.4519)
Pt (0.5000, 0.5000, 0.2500)
Te (0.5000, 0.5000, 0.7500)

Computed properties:
N(E_F) in states/eV/f.u.: 1.37
Symmetry: Pmmm (47)
Energy relative to the elements, uncorrected in meV per atom: -95
Calculated volume in Å³/cell: 105


No. 3
Entry from Alexandria: a geometry-optimized Mg2Ga2Pd5 structure (PBE-GGA).

Lattice parameters (Å, degrees): 6.8587 6.4219 8.3765 112.54 114.17 90.00
Fractional coordinates of all 18 atoms:
Mg (0.1057, 0.6301, 0.2647)
Mg (0.8943, 0.3655, 0.7353)
Mg (0.6590, 0.1301, 0.2647)
Mg (0.3410, 0.8655, 0.7353)
Ga (0.0000, 0.1172, 0.0000)
Ga (0.5000, 0.6172, 0.0000)
Ga (0.2910, 0.3848, 0.5000)
Ga (0.7090, 0.8848, 0.5000)
Pd (0.1516, 0.7576, 0.9135)
Pd (0.8484, 0.8441, 0.0865)
Pd (0.2619, 0.2576, 0.9135)
Pd (0.7381, 0.3441, 0.0865)
Pd (0.3301, 0.9897, 0.3007)
Pd (0.6699, 0.6889, 0.6993)
Pd (0.4706, 0.4897, 0.3007)
Pd (0.5294, 0.1889, 0.6993)
Pd (0.9521, 0.5581, 0.5000)
Pd (0.0479, 0.0581, 0.5000)

Computed properties:
N(E_F) in states/eV/f.u.: 2.82
Symmetry: Ima2 (46)
Formation energy in eV per atom: -0.475
Calculated volume in Å³/cell: 305


No. 4
Entry from Alexandria: a geometry-optimized Li2Pd12Pb5 structure (PBE-GGA).

Lattice parameters (Å, degrees): 5.5672 9.6592 9.8618 130.37 90.00 106.75
Fractional coordinates of all 19 atoms:
Li (0.7531, 0.0000, 0.0000)
Li (0.2469, 0.0000, 0.0000)
Pd (0.0000, 0.0000, 0.2233)
Pd (0.0814, 0.6668, 0.9286)
Pd (0.5854, 0.6668, 0.9286)
Pd (0.0970, 0.6952, 0.4480)
Pd (0.5981, 0.6952, 0.4480)
Pd (0.5016, 0.0032, 0.7699)
Pd (0.4984, 0.9968, 0.2301)
Pd (0.9030, 0.3048, 0.5520)
Pd (0.4019, 0.3048, 0.5520)
Pd (0.9186, 0.3332, 0.0714)
Pd (0.4146, 0.3332, 0.0714)
Pd (0.0000, 0.0000, 0.7767)
Pb (0.3163, 0.6325, 0.6576)
Pb (0.3306, 0.6612, 0.1774)
Pb (0.0000, 0.0000, 0.5000)
Pb (0.6694, 0.3388, 0.8226)
Pb (0.6837, 0.3675, 0.3424)

Computed properties:
N(E_F) in states/eV/f.u.: 11.15
Symmetry: C2/m (12)
Formation energy in eV per atom: -0.169
Calculated volume in Å³/cell: 374


No. 5
Entry from Alexandria: a geometry-optimized AlCu3B structure (PBE-GGA).

Lattice parameters (Å, degrees): 4.4766 4.4766 4.4766 90.00 90.00 90.00
Fractional coordinates of all 5 atoms:
B (0.5000, 0.5000, 0.5000)
Al (0.0000, 0.0000, 0.0000)
Cu (0.0000, 0.5000, 0.0000)
Cu (0.0000, 0.0000, 0.5000)
Cu (0.5000, 0.0000, 0.0000)

Computed properties:
N(E_F) in states/eV/f.u.: 3.34
Symmetry: Pm-3m (221)
Excess energy over the best structure of this formula in the dataset in kJ/mol of formula units: 631
Formation energy in eV per atom: 1.506
Calculated volume in Å³/cell: 90


No. 6
Entry from Alexandria: a geometry-optimized BeRh3Br structure (PBE-GGA).

Lattice parameters (Å, degrees): 4.5513 4.5513 4.5513 90.00 90.00 90.00
Fractional coordinates of all 5 atoms:
Be (0.5000, 0.5000, 0.5000)
Rh (0.0000, 0.5000, 0.0000)
Rh (0.0000, 0.0000, 0.5000)
Rh (0.5000, 0.0000, 0.0000)
Br (0.0000, 0.0000, 0.0000)

Computed properties:
N(E_F) in states/eV/f.u.: 6.42
Symmetry: Pm-3m (221)
Energy relative to the elements, uncorrected in meV per atom: 1243
Excess energy over the best structure of this formula in the dataset in kJ/mol of formula units: 306
Calculated volume in Å³/cell: 94


No. 7
Entry from Alexandria: a geometry-optimized CaTeAsBr2 structure (PBE-GGA).

Lattice parameters (Å, degrees): 5.5643 5.5643 5.5634 90.00 90.00 90.00
Fractional coordinates of all 5 atoms:
As (0.0000, 0.0000, 0.5000)
Te (0.0000, 0.0000, 0.0000)
Ca (0.5000, 0.5000, 0.5000)
Br (0.0000, 0.5000, 0.0000)
Br (0.5000, 0.0000, 0.0000)

Computed properties:
N(E_F) in states/eV/f.u.: 1.41
Symmetry: P4/mmm (123)
Energy relative to the elements, uncorrected in meV per atom: -182
Excess energy over the best structure of this formula in the dataset in kJ/mol of formula units: 40
Calculated volume in Å³/cell: 172


No. 8
Entry from Alexandria: a geometry-optimized AlCu2W structure (PBE-GGA).

Lattice parameters (Å, degrees): 4.2848 4.2848 4.2848 60.00 60.00 60.00
Site moments in Bohr magnetons follow the coordinates.
Fractional coordinates of all 4 atoms:
Cu (0.0000, 0.0000, 0.0000)  0.10
Cu (0.2500, 0.2500, 0.2500)  0.01
W (0.7500, 0.7500, 0.7500)  0.83
Al (0.5000, 0.5000, 0.5000)  0.01

Computed properties:
N(E_F) in states/eV/f.u.: 3.32
Symmetry: F-43m (216)
Formation energy in eV per atom: 0.339
Calculated volume in Å³/cell: 56


No. 9
Entry from Alexandria: a geometry-optimized Rb2TiRuCl6 structure (PBE-GGA).

Lattice parameters (Å, degrees): 7.3372 7.3372 6.8987 57.87 57.87 90.00
Site moments in Bohr magnetons follow the coordinates.
Fractional coordinates of all 10 atoms:
Ru (0.0000, 0.0000, 0.0000)  1.00
Cl (0.2512, 0.2512, 0.4977)  -0.01
Cl (0.7488, 0.7488, 0.5023)  -0.01
Cl (0.2559, 0.2559, 0.0000)  0.01
Cl (0.7441, 0.7441, 0.0000)  0.01
Cl (0.7441, 0.2559, 0.0000)  0.01
Cl (0.2559, 0.7441, 0.0000)  0.01
Rb (0.7500, 0.2500, 0.5000)  0.00
Rb (0.2500, 0.7500, 0.5000)  0.00
Ti (0.5000, 0.5000, 0.0000)  0.78

Computed properties:
N(E_F) in states/eV/f.u.: 5.01
Symmetry: I4/mmm (139)
Energy relative to the elements, uncorrected in meV per atom: -1192
Calculated volume in Å³/cell: 245


No. 10
Entry from Alexandria: a geometry-optimized NaSiB structure (PBE-GGA).

Lattice parameters (Å, degrees): 4.8009 4.8009 7.2746 90.00 90.00 120.00
Fractional coordinates of all 6 atoms:
Na (0.3333, 0.6667, 0.2500)
Na (0.6667, 0.3333, 0.7500)
Si (0.0000, 0.0000, 0.0000)
Si (0.0000, 0.0000, 0.5000)
B (0.0000, 0.0000, 0.2500)
B (0.0000, 0.0000, 0.7500)

Computed properties:
N(E_F) in states/eV/f.u.: 0.40
Symmetry: P6_3/mmc (194)
Energy relative to the elements, uncorrected in meV per atom: 569
Calculated volume in Å³/cell: 145


No. 11
Entry from Alexandria: a geometry-optimized InGaOs2 structure (PBE-GGA).

Lattice parameters (Å, degrees): 4.1161 4.1161 9.4836 77.47 77.47 90.00
Fractional coordinates of all 8 atoms:
Os (0.5334, 0.1250, 0.2500)
Os (0.2166, 0.6250, 0.2500)
Os (0.3750, 0.4666, 0.7500)
Os (0.8750, 0.7834, 0.7500)
Ga (0.5000, 0.5000, 0.0000)
Ga (0.2500, 0.7500, 0.5000)
In (0.0000, 0.0000, 0.0000)
In (0.7500, 0.2500, 0.5000)

Computed properties:
N(E_F) in states/eV/f.u.: 3.10
Symmetry: I-42d (122)
Excess energy over the best structure of this formula in the dataset in kJ/mol of formula units: 91
Formation energy in eV per atom: 0.662
Calculated volume in Å³/cell: 153


No. 12
Entry from Alexandria: a geometry-optimized PaVAgS4 structure (PBE-GGA).

Lattice parameters (Å, degrees): 8.1040 7.4491 7.5446 120.43 90.00 122.95
Site moments in Bohr magnetons follow the coordinates.
Fractional coordinates of all 14 atoms:
Pa (0.5000, 0.5000, 0.5000)  0.53
Pa (0.0000, 0.5000, 0.5000)  0.53
V (0.5000, 0.0000, 0.5000)  2.17
V (0.5000, 0.0000, 0.0000)  2.17
Ag (0.9242, 0.8484, 0.1742)  0.01
Ag (0.0758, 0.1516, 0.8258)  0.01
S (0.7487, 0.4973, 0.7337)  -0.03
S (0.2874, 0.9758, 0.2379)  -0.04
S (0.6884, 0.9758, 0.2379)  -0.04
S (0.7487, 0.4973, 0.2636)  -0.03
S (0.2513, 0.5027, 0.7364)  -0.03
S (0.7126, 0.0242, 0.7621)  -0.04
S (0.3116, 0.0242, 0.7621)  -0.04
S (0.2513, 0.5027, 0.2663)  -0.03

Computed properties:
N(E_F) in states/eV/f.u.: 1.13
Symmetry: Imma (74)
Energy relative to the elements, uncorrected in meV per atom: -1072
Calculated volume in Å³/cell: 305